# 1
Compound: YTmIO6
Source: Alexandria via LeMat-Bulk
Functional: PBE
Structure: optimized geometry

Cell lengths 5.5613, 5.5613, 9.5809 Å; angles 90.00, 90.00, 120.00 degrees
Positions (direct):
I: 0.6667 0.3333 0.2500
I: 0.3333 0.6667 0.7500
O: 0.0298 0.6671 0.8654
O: 0.6373 0.6671 0.6346
O: 0.9702 0.6373 0.3654
O: 0.0298 0.3627 0.6346
O: 0.6671 0.0298 0.3654
O: 0.3627 0.3329 0.3654
O: 0.3329 0.3627 0.8654
O: 0.9702 0.3329 0.1346
O: 0.6373 0.9702 0.8654
O: 0.3627 0.0298 0.1346
O: 0.3329 0.9702 0.6346
O: 0.6671 0.6373 0.1346
Y: 0.0000 0.0000 0.5000
Y: 0.0000 0.0000 0.0000
Tm: 0.3333 0.6667 0.2500
Tm: 0.6667 0.3333 0.7500

Output
- formation energy from raw total energies (kcal/mol of atoms) = -47.6
- crystal system = trigonal

---

# 2
Compound: ScPaGe2
Source: Alexandria via LeMat-Bulk
Functional: PBE
Structure: optimized geometry

Cell lengths 4.4769, 4.4769, 5.6307 Å; angles 66.58, 66.58, 60.00 degrees
Positions (direct):
Pa: 0.0000 0.0000 0.0000
Sc: 0.5000 0.5000 0.5000
Ge: 0.2400 0.2400 0.2800
Ge: 0.7600 0.7600 0.7200

Output
- energy of formation (meV/atom) = -557
- crystal system = trigonal
- relative energy among the computed polymorphs (kJ/mol of atoms) = 0.5

---

# 3
Compound: Mo3Se
Source: Alexandria via LeMat-Bulk
Functional: PBE
Structure: optimized geometry

Cell lengths 5.2960, 5.2960, 5.2960 Å; angles 145.18, 131.86, 60.78 degrees
Positions (direct):
Mo: 0.4943 0.4943 0.0000
Mo: 0.7500 0.2500 0.5000
Mo: 0.0057 0.0057 0.0000
Se: 0.2500 0.7500 0.5000

Output
- formation energy from raw total energies (kcal/mol of atoms) = 5.0
- crystal system = orthorhombic
- relative energy among the computed polymorphs (kJ/mol of atoms) = 5.7

---

# 4
Compound: LaNdSm5Tm2
Source: Alexandria via LeMat-Bulk
Functional: PBE
Structure: optimized geometry

Cell lengths 5.6845, 10.4725, 10.7062 Å; angles 90.00, 90.00, 105.75 degrees
Positions (direct):
Sm: 0.2814 0.5628 0.3114
Sm: 0.9834 0.9668 0.5263
Sm: 0.0166 0.0332 0.0263
Sm: 0.5225 0.0449 0.2384
Sm: 0.7038 0.4077 0.2062
Sm: 0.3893 0.7787 0.0264
Sm: 0.2962 0.5923 0.7062
Sm: 0.7186 0.4372 0.8114
Sm: 0.4775 0.9551 0.7384
Sm: 0.6107 0.2213 0.5264
Tm: 0.8887 0.7774 0.2344
Tm: 0.8845 0.7690 0.8220
Tm: 0.1155 0.2310 0.3220
Tm: 0.1113 0.2226 0.7344
La: 0.5822 0.1645 0.9475
La: 0.4178 0.8355 0.4475
Nd: 0.7988 0.5975 0.5114
Nd: 0.2012 0.4025 0.0114

Output
- energy of formation (meV/atom) = 155
- crystal system = orthorhombic

---

# 5
Compound: Sr2CrCd
Source: Alexandria via LeMat-Bulk
Functional: PBE
Structure: optimized geometry

Cell lengths 5.2474, 5.2474, 7.7704 Å; angles 79.67, 79.67, 44.97 degrees
Positions (direct):
Sr: 0.4999 0.4999 0.4972
Sr: 0.0001 0.0001 0.0028
Cr: 0.2500 0.2500 0.2500
Cd: 0.7500 0.7500 0.7500

Output
- energy of formation (meV/atom) = 446
- crystal system = monoclinic

---

# 6
Compound: SrLaAsAu2
Source: Alexandria via LeMat-Bulk
Functional: PBE
Structure: optimized geometry

Cell lengths 5.6143, 5.6421, 5.6143 Å; angles 90.00, 90.00, 90.00 degrees
Positions (direct):
La: 0.0000 0.0000 0.0000
As: 0.0000 0.5000 0.0000
Au: 0.0000 0.0000 0.5000
Au: 0.5000 0.0000 0.0000
Sr: 0.5000 0.5000 0.5000

Output
- energy of formation (meV/atom) = -355
- crystal system = tetragonal